A plane-wave DFT calculation with PBE was carried out for a relaxed structure of AlCoAs.

Cell and atoms, written as POSCAR:
```
AlCoAs
1.0
-4.7184 -1.4383 3.2278
-2.9276 -3.6103 3.6257
0.6181 0.9848 2.5945
As Al Co
1 1 1
Direct
0.3017 0.3017 0.6983
0.0311 0.0311 0.9689
0.6672 0.6672 0.3328
```

Summary:
ΔH_f (0 K), eV per formula unit: -0.4
VASP energy, eV for the cell shown: -15.86